[1]
Entry from Alexandria via LeMat-Bulk: a relaxed structure of SrLiAl2 (PBE).

Calculated values
- DFT total energy (eV per atom) = -2.76
- DOS at the Fermi energy (states/eV per cell) = 2.0
- total magnetic moment (Bohr magnetons per cell) = 0.272
- energy of formation (eV/atom) = 0.010

```
4
Lattice="3.5302 0.0000 0.0000 0.0000 3.5288 0.0000 0.0000 0.0000 7.6545" Properties=species:S:1:pos:R:3 pbc="T T T"
Al 0.0000 0.0000 0.4752
Al 1.7651 1.7644 1.8910
Li 0.0000 0.0000 3.2741
Sr 1.7651 1.7644 5.8414
```

=====

[2]
Entry from Alexandria via LeMat-Bulk: a relaxed structure of Ba2YCdAu6 (PBE).

Calculated values
- DFT total energy (eV per atom) = -3.59
- DOS at the Fermi energy (states/eV per cell) = 4.1
- total magnetic moment (Bohr magnetons per cell) = 0.000
- energy of formation (eV/atom) = -0.505

```
10
Lattice="9.1998 0.0139 -0.2411 -0.0105 6.6327 -0.0112 4.5681 3.3326 4.6805" Properties=species:S:1:pos:R:3 pbc="T T T"
Au 11.3298 4.8064 4.3620
Au 10.6661 6.6668 2.1333
Au 2.4276 5.1729 0.0662
Au 3.0913 3.3125 2.2948
Au 11.3217 8.5150 4.3713
Au 2.4357 1.4643 0.0568
Y 4.5946 3.3233 -0.1262
Cd 0.0000 0.0000 0.0000
Ba 8.7238 3.3339 2.0273
Ba 5.0336 6.6454 2.4008
```

=====

[3]
Entry from Alexandria via LeMat-Bulk: a relaxed structure of KScBe4 (PBE).

Calculated values
- DFT total energy (eV per atom) = -3.10
- DOS at the Fermi energy (states/eV per cell) = 6.3
- total magnetic moment (Bohr magnetons per cell) = 0.001
- energy of formation (eV/atom) = 0.622

```
6
Lattice="-0.4920 -4.9887 0.7434 0.1782 -1.8914 4.6981 -4.2033 -1.8387 2.1524" Properties=species:S:1:pos:R:3 pbc="T T T"
Sc 0.0000 0.0000 0.0000
Be -1.9073 -5.9077 3.1603
Be -3.9530 -4.1714 3.9369
Be -1.5378 -4.2005 5.3401
Be -1.6361 -3.1579 2.7505
K -3.3878 -6.5391 5.6955
```

=====

[4]
Entry from Alexandria via LeMat-Bulk: a relaxed structure of Ca2IrRh2 (PBE).

Calculated values
- DFT total energy (eV per atom) = -5.77
- DOS at the Fermi energy (states/eV per cell) = 15.5
- total magnetic moment (Bohr magnetons per cell) = 0.740
- energy of formation (eV/atom) = -0.257

```
10
Lattice="-1.8309 -3.5506 5.3290 3.3055 -5.2711 -2.3763 3.7258 1.3530 2.1816" Properties=species:S:1:pos:R:3 pbc="T T T"
Ca 3.3287 -6.0603 2.7655
Ca 1.4194 -3.9222 4.7003
Ca 3.7810 -3.5465 0.4340
Ca 1.8717 -1.4084 2.3687
Rh 0.9623 -2.4043 -0.1524
Rh 2.1918 -5.8605 -0.1087
Rh -0.7172 -2.9611 3.0614
Rh 0.5123 -6.4174 3.1051
Ir 0.0000 0.0000 0.0000
Ir 0.7373 -4.4108 1.4764
```

=====

[5]
Entry from Alexandria via LeMat-Bulk: a relaxed structure of BeAgSb (PBE).

Calculated values
- DFT total energy (eV per atom) = -3.38
- uncorrected formation energy (meV/atom) = 185.4
- DOS at the Fermi energy (states/eV per cell) = 0.7
- total magnetic moment (Bohr magnetons per cell) = 0.000

```
6
Lattice="-8.0387 -0.0077 -0.6757 -0.2988 -2.2982 3.5812 -0.3260 1.7933 3.8567" Properties=species:S:1:pos:R:3 pbc="T T T"
Sb -4.7369 0.4132 3.5187
Sb -0.8315 0.3253 5.2126
Be -5.5885 0.2518 5.8240
Be -1.2866 0.4847 2.7977
Ag -6.8212 0.5197 1.7375
Ag -2.8578 -1.5784 2.7641
```

=====

[6]
Entry from Alexandria via LeMat-Bulk: a relaxed structure of CeGa2Tc4 (PBE).

Calculated values
- DFT total energy (eV per atom) = -7.89
- DOS at the Fermi energy (states/eV per cell) = 6.9
- total magnetic moment (Bohr magnetons per cell) = 0.000
- energy of formation (eV/atom) = -0.258

```
7
Lattice="-0.2327 -3.9423 -1.4743 4.1454 0.0525 -0.7947 -0.8006 -2.5211 6.8678" Properties=species:S:1:pos:R:3 pbc="T T T"
Tc 0.3909 -2.9661 1.8431
Tc 2.7211 -3.4449 2.7556
Tc 2.5804 -0.9696 2.1854
Tc 0.7643 -1.4990 3.8876
Ga 2.1803 -2.3843 0.0050
Ga 0.9317 -4.0266 4.5938
Ce 0.0000 0.0000 0.0000
```

=====

[7]
Entry from Alexandria via LeMat-Bulk: a relaxed structure of RePd (PBE).

Calculated values
- DFT total energy (eV per atom) = -7.99
- DOS at the Fermi energy (states/eV per cell) = 6.6
- total magnetic moment (Bohr magnetons per cell) = 0.000
- energy of formation (eV/atom) = 0.831

```
12
Lattice="-9.5727 -5.1910 1.6529 8.3767 -1.5382 6.9843 -0.8672 2.0760 1.4973" Properties=species:S:1:pos:R:3 pbc="T T T"
Re 2.0202 -3.0485 9.0552
Re -1.0957 -1.1642 4.6380
Re -4.0834 -1.6047 1.0794
Re -6.3682 -5.2695 4.8372
Re 4.3049 0.6163 5.2974
Re -0.9675 -3.4891 5.4966
Pd 3.2714 -1.0062 6.9483
Pd -5.3346 -3.6470 3.1863
Pd 0.6602 -2.2002 7.0913
Pd 1.2978 -0.3901 4.9509
Pd -2.7235 -2.4531 3.0433
Pd -3.3610 -4.2632 5.1836
```

=====

[8]
Entry from Alexandria via LeMat-Bulk: a relaxed structure of K2LaP2S7 (PBE).

Calculated values
- DFT total energy (eV per atom) = -4.98
- uncorrected formation energy (meV/atom) = -1072.7
- DOS at the Fermi energy (states/eV per cell) = 0.0
- total magnetic moment (Bohr magnetons per cell) = 0.000

```
48
Lattice="-2.9902 -5.1817 3.5402 6.7370 0.4877 6.4042 -12.4944 13.3610 9.0027" Properties=species:S:1:pos:R:3 pbc="T T T"
P -7.7767 4.6387 7.2391
P -5.8345 8.8459 15.0737
P -4.3972 9.1622 9.9256
P -0.9709 4.0282 11.7080
P 0.4284 -4.2423 7.6099
P -2.9132 -0.1790 3.8734
P -4.3505 -0.4953 9.0215
P -9.1761 12.9092 11.3372
S -4.0236 1.5209 9.1105
S -1.9734 0.8723 5.3883
S -5.9567 4.4038 12.0606
S -5.8486 10.8773 14.8018
S -0.8510 2.0496 12.2042
S -2.8991 -2.2104 4.1453
S -2.7909 4.2631 6.8865
S -8.8232 11.0468 12.0816
S -10.6355 7.6827 8.8041
S 1.8569 0.4196 5.2804
S 1.8878 0.9842 10.1430
S -10.6046 8.2473 13.6667
S -7.8967 6.6173 6.7429
S 0.7717 4.5741 10.8069
S -6.8825 8.4796 16.7905
S -2.6496 4.5886 10.7385
S -4.7241 7.1460 9.8366
S 0.0755 -2.3799 6.8655
S -6.0981 4.0783 8.2086
S -1.8651 0.1873 2.1566
S -9.0991 5.0447 13.0657
S -11.0176 13.1872 10.5606
S 2.2700 -4.5203 8.3865
S -3.8156 9.5928 11.8646
S -4.9320 -0.9259 7.0825
S 0.3515 3.6222 5.8814
S -9.5194 4.0928 8.1401
S -6.7742 7.7946 13.5587
K 3.5527 -1.9852 6.6745
K -9.2868 10.7406 8.5273
K -12.3004 10.6521 12.2725
K -4.0721 1.8111 12.6159
K -7.8665 6.4598 10.2865
K -4.6756 6.8558 6.3312
K -0.8812 2.2071 8.6606
K 0.5392 -2.0737 10.4198
La -4.0854 6.6466 12.7105
La 0.1166 2.0153 3.4404
La -4.6623 2.0203 6.2366
La -8.8642 6.6516 15.5067
```

=====

[9]
Entry from Alexandria via LeMat-Bulk: a relaxed structure of Cu2B2Rh (PBE).

Calculated values
- DFT total energy (eV per atom) = -5.35
- DOS at the Fermi energy (states/eV per cell) = 2.9
- total magnetic moment (Bohr magnetons per cell) = 0.000
- energy of formation (eV/atom) = 0.428

```
5
Lattice="-1.8891 -1.4863 1.3123 1.9112 -1.8476 0.6585 1.3411 1.7843 6.8089" Properties=species:S:1:pos:R:3 pbc="T T T"
Rh 0.0000 0.0000 0.0000
Cu 0.3585 -0.7654 2.5067
Cu 1.0047 -0.7843 6.2730
B -0.2685 -0.6845 4.5533
B 1.6316 -0.8652 4.2264
```

=====

[10]
Entry from Alexandria via LeMat-Bulk: a relaxed structure of CsRb2Cd2 (PBE).

Calculated values
- DFT total energy (eV per atom) = -0.94
- DOS at the Fermi energy (states/eV per cell) = 9.7
- total magnetic moment (Bohr magnetons per cell) = 0.000
- energy of formation (eV/atom) = -0.015

```
10
Lattice="9.9985 0.0000 0.0000 0.0000 9.9985 0.0000 0.0000 0.0000 5.6025" Properties=species:S:1:pos:R:3 pbc="T T T"
Cd 3.9433 8.9425 0.0000
Cd 6.0551 1.0559 0.0000
Cd 8.9425 6.0551 0.0000
Cd 1.0559 3.9433 0.0000
Rb 8.3035 3.3043 2.8013
Rb 1.6949 6.6942 2.8013
Rb 3.3043 1.6949 2.8013
Rb 6.6942 8.3035 2.8013
Cs 4.9992 4.9992 0.0000
Cs 0.0000 0.0000 0.0000
```

=====

[11]
Entry from Alexandria via LeMat-Bulk: a relaxed structure of PrSmN (PBE).

Calculated values
- DFT total energy (eV per atom) = -6.25
- uncorrected formation energy (meV/atom) = -312.3
- DOS at the Fermi energy (states/eV per cell) = 0.9
- total magnetic moment (Bohr magnetons per cell) = 0.000

```
3
Lattice="4.4143 0.0000 0.0000 2.2071 3.8229 0.0000 2.2071 1.2743 3.6042" Properties=species:S:1:pos:R:3 pbc="T T T"
Pr 4.4143 2.5486 1.8021
Sm 0.0000 0.0000 0.0000
N 2.2071 1.2743 0.9011
```

=====

[12]
Entry from Alexandria via LeMat-Bulk: a relaxed structure of Dy2LuFe (PBE).

Calculated values
- DFT total energy (eV per atom) = -5.20
- DOS at the Fermi energy (states/eV per cell) = 4.9
- total magnetic moment (Bohr magnetons per cell) = 0.640
- energy of formation (eV/atom) = 0.346

```
4
Lattice="-0.5118 -2.1451 2.6299 -0.5992 -3.3274 -0.5911 9.9093 -3.7515 1.1080" Properties=species:S:1:pos:R:3 pbc="T T T"
Lu 0.0000 0.0000 0.0000
Dy 2.1892 -6.0913 2.1763
Dy 6.6090 -3.1327 0.9705
Fe 4.3991 -4.6120 1.5734
```

=====

[13]
Entry from Alexandria via LeMat-Bulk: a relaxed structure of FeAg2Mo (PBE).

Calculated values
- DFT total energy (eV per atom) = -5.66
- DOS at the Fermi energy (states/eV per cell) = 5.1
- total magnetic moment (Bohr magnetons per cell) = 2.314
- energy of formation (eV/atom) = 0.593

```
4
Lattice="-2.7145 3.8141 2.2383 -2.3855 -4.5636 -0.6398 0.8640 -0.7864 2.3877" Properties=species:S:1:pos:R:3 pbc="T T T"
Ag -2.5500 -0.3747 0.7993
Ag 0.0000 0.0000 0.0000
Mo -0.7607 -2.6750 0.8740
Fe -0.9253 1.5138 2.3130
```

=====

[14]
Entry from Alexandria via LeMat-Bulk: a relaxed structure of K4HCl2 (PBE).

Calculated values
- DFT total energy (eV per atom) = -2.67
- DOS at the Fermi energy (states/eV per cell) = 2.1
- total magnetic moment (Bohr magnetons per cell) = 0.000

```
7
Lattice="-1.6701 -2.5520 4.4241 -3.7313 -2.5687 -2.8903 2.6723 -8.6774 -0.7333" Properties=species:S:1:pos:R:3 pbc="T T T"
Cl -1.2767 -9.8166 0.3822
Cl -1.4524 -3.9815 0.4184
K -3.3413 -7.4662 0.9586
K 0.6121 -6.3319 -0.1581
K -1.8657 -1.2843 -1.4452
K -0.8351 -1.2760 2.2121
H 0.0000 0.0000 0.0000
```

=====

[15]
Entry from Alexandria via LeMat-Bulk: a relaxed structure of PrYPtRh (PBE).

Calculated values
- DFT total energy (eV per atom) = -7.11
- DOS at the Fermi energy (states/eV per cell) = 2.5
- total magnetic moment (Bohr magnetons per cell) = 0.000
- energy of formation (eV/atom) = -0.953

```
4
Lattice="3.8926 0.0000 0.0000 0.0000 4.4209 0.0000 -1.9463 0.0000 5.3778" Properties=species:S:1:pos:R:3 pbc="T T T"
Pr 0.0000 0.0000 1.5553
Pt 1.9463 2.2105 0.8855
Y 1.9463 2.2105 3.9018
Rh 0.0000 0.0000 4.4130
```

=====

[16]
Entry from Alexandria via LeMat-Bulk: a relaxed structure of TlCI2N (PBE).

Calculated values
- DFT total energy (eV per atom) = -2.19
- uncorrected formation energy (meV/atom) = 2417.2
- DOS at the Fermi energy (states/eV per cell) = 12.5
- total magnetic moment (Bohr magnetons per cell) = 0.000

```
5
Lattice="6.1431 0.0000 0.0000 0.0000 6.1431 0.0000 0.0000 0.0000 4.0760" Properties=species:S:1:pos:R:3 pbc="T T T"
N 0.0000 0.0000 2.0380
C 3.0716 3.0716 2.0380
I 3.0716 0.0000 0.0000
I 0.0000 3.0716 0.0000
Tl 0.0000 0.0000 0.0000
```

=====

[17]
Entry from Alexandria via LeMat-Bulk: a relaxed structure of Tm5PuRh6 (PBE).

Calculated values
- DFT total energy (eV per atom) = -7.59
- DOS at the Fermi energy (states/eV per cell) = 13.6
- total magnetic moment (Bohr magnetons per cell) = 4.871
- energy of formation (eV/atom) = -0.861

```
12
Lattice="-4.1048 -1.5190 1.8212 -2.6727 -0.4013 -6.3585 0.2092 -7.5005 0.3854" Properties=species:S:1:pos:R:3 pbc="T T T"
Tm -2.6325 -3.2143 -2.4442
Tm -1.2956 -3.0153 0.7349
Tm -3.9358 -6.2065 -1.7076
Tm -1.3363 -0.2006 -3.1792
Tm -2.6000 -6.0042 1.4718
Rh -2.5452 -5.5523 -4.1977
Rh -1.2178 -5.3530 -1.0396
Rh -2.7268 -0.8608 -0.6939
Rh -5.3505 -4.0678 -3.1122
Rh -4.0506 -1.0595 -3.8434
Rh -4.0230 -3.8685 0.0458
Pu 0.0000 0.0000 0.0000
```

=====

[18]
Entry from Alexandria via LeMat-Bulk: a relaxed structure of LaY2HgC (PBE).

Calculated values
- DFT total energy (eV per atom) = -5.80
- DOS at the Fermi energy (states/eV per cell) = 5.3
- total magnetic moment (Bohr magnetons per cell) = 0.000
- energy of formation (eV/atom) = -0.325

```
5
Lattice="4.9272 0.0000 0.0000 0.0000 4.9272 0.0000 0.0000 0.0000 5.2171" Properties=species:S:1:pos:R:3 pbc="T T T"
La 0.0000 0.0000 2.6085
Y 0.0000 2.4636 0.0000
Y 2.4636 0.0000 0.0000
C 0.0000 0.0000 0.0000
Hg 2.4636 2.4636 2.6085
```

=====

[19]
Entry from Alexandria via LeMat-Bulk: a relaxed structure of Dy8Al2Rh (PBE).

Calculated values
- DFT total energy (eV per atom) = -4.99
- DOS at the Fermi energy (states/eV per cell) = 10.8
- total magnetic moment (Bohr magnetons per cell) = 0.000
- energy of formation (eV/atom) = -0.294

```
11
Lattice="-0.6343 -3.4059 -3.6200 4.8003 -3.6938 2.6342 -7.1758 -1.4365 6.0767" Properties=species:S:1:pos:R:3 pbc="T T T"
Dy -1.3265 -6.0825 2.4873
Dy -5.1404 -2.2983 3.0631
Dy -6.4147 -5.5256 2.8550
Dy -3.4995 -4.5748 4.9174
Dy 3.4050 -3.0106 2.2359
Dy 0.4897 -3.9614 0.1735
Dy 2.1307 -6.2379 2.0278
Dy -1.6833 -2.4537 2.6036
Al 0.7917 -3.9678 3.5944
Al -3.8015 -4.5684 1.4965
Rh -0.3172 -1.7030 -1.8100
```

=====

[20]
Entry from Alexandria via LeMat-Bulk: a relaxed structure of Rb3Zr2MnTe6 (PBE).

Calculated values
- DFT total energy (eV per atom) = -4.82
- uncorrected formation energy (meV/atom) = -817.0
- DOS at the Fermi energy (states/eV per cell) = 5.1
- total magnetic moment (Bohr magnetons per cell) = 4.308

```
12
Lattice="-6.8438 -2.0265 2.0856 3.3613 -3.5085 -5.6290 4.4937 -3.7648 6.6676" Properties=species:S:1:pos:R:3 pbc="T T T"
Mn 0.0000 0.0000 0.0000
Rb -2.8861 -4.1574 4.1261
Rb 0.5056 -4.6499 1.5621
Rb 3.8973 -5.1424 -1.0019
Te 2.7088 -4.5299 4.4534
Te -0.7330 -7.0778 3.9482
Te 2.6450 -7.5684 1.3945
Te -1.6337 -1.7314 1.7296
Te 1.7442 -2.2220 -0.8240
Te -1.6975 -4.7699 -1.3293
Zr -0.0447 -3.0139 -3.0542
Zr -3.4378 -2.5211 -0.4892
```